Entry w
The following is a PBE calculation of YBi2Ru2 after structural relaxation, from Alexandria via LeMat-Bulk.

Cell lengths 4.970, 4.970, 5.877 Å; angles 64.99, 64.99, 90.00 degrees
Atoms (fractional coordinates):
Y1 0.000 0.000 0.000
Bi1 0.250 0.750 0.500
Bi2 0.750 0.250 0.500
Ru1 0.373 0.373 0.254
Ru2 0.627 0.627 0.746

Properties
The calculation puts the total magnetic moment at 0.6 μB/cell. As for the density: 10.12 g/cm³.

Entry x
The following is a PBE calculation of YBi2Ru2 after structural relaxation, from Alexandria via LeMat-Bulk.

Cell lengths 4.522, 4.522, 6.564 Å; angles 69.85, 69.85, 90.00 degrees
Atoms (fractional coordinates):
Ru1 0.750 0.250 0.500
Ru2 0.250 0.750 0.500
Bi1 0.370 0.370 0.260
Bi2 0.630 0.630 0.740
Y1 0.000 0.000 0.000

Properties
The calculation puts the total magnetic moment at 0.0 μB/cell. As for the density: 10.05 g/cm³.

Which of them is the most stable? Correct choice: entry x.

Entry w
The following is a PBE calculation of ZnBi3Ru after structural relaxation, from Alexandria via LeMat-Bulk.

Cell lengths 5.269, 5.269, 5.269 Å; angles 90.00, 90.00, 90.00 degrees
Atoms (fractional coordinates):
Ru1 0.500 0.500 0.500
Bi1 0.500 0.000 0.000
Bi2 0.000 0.000 0.500
Bi3 0.000 0.500 0.000
Zn1 0.000 0.000 0.000

Properties
The calculation puts the total magnetic moment at 1.6 μB/cell. As for the density: 9.01 g/cm³.

Entry x
The following is a PBE calculation of ZnBi3Ru after structural relaxation, from Alexandria via LeMat-Bulk.

Cell lengths 5.308, 5.308, 5.308 Å; angles 90.00, 90.00, 90.00 degrees
Atoms (fractional coordinates):
Ru1 0.000 0.000 0.000
Bi1 0.500 0.000 0.000
Bi2 0.000 0.500 0.000
Bi3 0.000 0.000 0.500
Zn1 0.500 0.500 0.500

Properties
The calculation puts the total magnetic moment at 0.0 μB/cell. As for the density: 8.81 g/cm³.

Which of them is the most stable? Correct choice: entry x.

Entry w
The following is a PBE calculation of ZnBiRu3 after structural relaxation, from Alexandria via LeMat-Bulk.

Cell lengths 4.964, 4.964, 4.964 Å; angles 90.00, 90.00, 90.00 degrees
Atoms (fractional coordinates):
Bi1 0.000 0.000 0.000
Zn1 0.500 0.500 0.500
Ru1 0.000 0.500 0.000
Ru2 0.000 0.000 0.500
Ru3 0.500 0.000 0.000

Properties
The calculation puts the total magnetic moment at 3.0 μB/cell. As for the density: 7.84 g/cm³.

Entry x
The following is a PBE calculation of ZnBiRu3 after structural relaxation, from Alexandria via LeMat-Bulk.

Cell lengths 4.556, 4.556, 4.556 Å; angles 90.00, 90.00, 90.00 degrees
Atoms (fractional coordinates):
Ru1 0.500 0.000 0.000
Ru2 0.000 0.500 0.000
Ru3 0.000 0.000 0.500
Zn1 0.000 0.000 0.000
Bi1 0.500 0.500 0.500

Properties
The calculation puts the total magnetic moment at 0.0 μB/cell. As for the density: 10.14 g/cm³.

Which of them is the most stable? Correct choice: entry x.

Entry w
The following is a PBE calculation of ZrBi2Ru after structural relaxation, from Alexandria via LeMat-Bulk.

Cell lengths 4.423, 4.423, 10.509 Å; angles 77.85, 77.85, 90.00 degrees
Atoms (fractional coordinates):
Bi1 0.375 0.362 0.750
Bi2 0.875 0.888 0.750
Bi3 0.638 0.125 0.250
Bi4 0.112 0.625 0.250
Zr1 0.250 0.750 0.500
Zr2 0.500 0.500 0.000
Ru1 0.750 0.250 0.500
Ru2 0.000 0.000 0.000

Properties
The calculation puts the total magnetic moment at 0.0 μB/cell. As for the density: 10.32 g/cm³.

Entry x
The following is a PBE calculation of ZrBi2Ru after structural relaxation, from Alexandria via LeMat-Bulk.

Cell lengths 5.002, 5.002, 5.002 Å; angles 60.00, 60.00, 60.00 degrees
Atoms (fractional coordinates):
Ru1 0.500 0.500 0.500
Bi1 0.750 0.750 0.750
Bi2 0.250 0.250 0.250
Zr1 0.000 0.000 0.000

Properties
The calculation puts the total magnetic moment at 1.4 μB/cell. As for the density: 11.45 g/cm³.

Which of them is the most stable? Correct choice: entry x.

Entry w
The following is a PBE calculation of ZrBiRu3 after structural relaxation, from Alexandria via LeMat-Bulk.

Cell lengths 4.820, 4.820, 4.820 Å; angles 90.00, 90.00, 90.00 degrees
Atoms (fractional coordinates):
Ru1 0.500 0.000 0.000
Ru2 0.000 0.500 0.000
Ru3 0.000 0.000 0.500
Bi1 0.500 0.500 0.500
Zr1 0.000 0.000 0.000

Properties
The calculation puts the total magnetic moment at 0.0 μB/cell. As for the density: 8.95 g/cm³.

Entry x
The following is a PBE calculation of ZrBiRu3 after structural relaxation, from Alexandria via LeMat-Bulk.

Cell lengths 4.855, 4.855, 4.855 Å; angles 90.00, 90.00, 90.00 degrees
Atoms (fractional coordinates):
Ru1 0.000 0.500 0.000
Ru2 0.000 0.000 0.500
Ru3 0.500 0.000 0.000
Bi1 0.000 0.000 0.000
Zr1 0.500 0.500 0.500

Properties
The calculation puts the total magnetic moment at 1.0 μB/cell. As for the density: 8.75 g/cm³.

Which of them is the most stable? Correct choice: entry w.

Entry w
The following is a PBE calculation of Zr3BiRu after structural relaxation, from Alexandria via LeMat-Bulk.

Cell lengths 5.315, 5.315, 5.315 Å; angles 90.00, 90.00, 90.00 degrees
Atoms (fractional coordinates):
Zr1 0.500 0.000 0.000
Zr2 0.000 0.000 0.500
Zr3 0.000 0.500 0.000
Bi1 0.000 0.000 0.000
Ru1 0.500 0.500 0.500

Properties
The calculation puts the total magnetic moment at 1.6 μB/cell. As for the density: 6.46 g/cm³.

Entry x
The following is a PBE calculation of Zr3BiRu after structural relaxation, from Alexandria via LeMat-Bulk.

Cell lengths 5.039, 5.039, 5.039 Å; angles 90.00, 90.00, 90.00 degrees
Atoms (fractional coordinates):
Zr1 0.000 0.500 0.000
Zr2 0.000 0.000 0.500
Zr3 0.500 0.000 0.000
Ru1 0.000 0.000 0.000
Bi1 0.500 0.500 0.500

Properties
The calculation puts the total magnetic moment at 0.0 μB/cell. As for the density: 7.57 g/cm³.

Which of them is the most stable? Correct choice: entry x.

Entry w
The following is a PBE calculation of ZrBi2Ru2 after structural relaxation, from Alexandria via LeMat-Bulk.

Cell lengths 7.083, 7.083, 4.202 Å; angles 90.00, 90.00, 90.00 degrees
Atoms (fractional coordinates):
Bi1 0.675 0.825 0.500
Bi2 0.825 0.325 0.500
Bi3 0.175 0.675 0.500
Bi4 0.325 0.175 0.500
Ru1 0.130 0.370 0.000
Ru2 0.870 0.630 0.000
Ru3 0.370 0.870 0.000
Ru4 0.630 0.130 0.000
Zr1 0.000 0.000 0.000
Zr2 0.500 0.500 0.000

Properties
The calculation puts the total magnetic moment at 0.0 μB/cell. As for the density: 11.21 g/cm³.

Entry x
The following is a PBE calculation of ZrBi2Ru2 after structural relaxation, from Alexandria via LeMat-Bulk.

Cell lengths 4.266, 4.266, 6.904 Å; angles 72.00, 72.00, 90.00 degrees
Atoms (fractional coordinates):
Zr1 0.000 0.000 0.000
Ru1 0.405 0.405 0.190
Ru2 0.595 0.595 0.810
Bi1 0.250 0.750 0.500
Bi2 0.750 0.250 0.500

Properties
The calculation puts the total magnetic moment at 0.0 μB/cell. As for the density: 10.45 g/cm³.

Which of them is the most stable? Correct choice: entry w.

Entry w
The following is a PBE calculation of Bi2Sb2S after structural relaxation, from Alexandria via LeMat-Bulk.

Cell lengths 7.917, 7.917, 4.917 Å; angles 90.00, 90.00, 90.00 degrees
Atoms (fractional coordinates):
Sb1 0.129 0.629 0.500
Sb2 0.371 0.129 0.500
Sb3 0.871 0.371 0.500
Sb4 0.629 0.871 0.500
S1 0.500 0.500 0.000
S2 0.000 0.000 0.000
Bi1 0.200 0.300 0.000
Bi2 0.300 0.800 0.000
Bi3 0.800 0.700 0.000
Bi4 0.700 0.200 0.000

Properties
The calculation puts the total magnetic moment at 0.0 μB/cell. As for the density: 7.47 g/cm³.

Entry x
The following is a PBE calculation of Bi2Sb2S after structural relaxation, from Alexandria via LeMat-Bulk.

Cell lengths 7.751, 7.751, 4.984 Å; angles 90.00, 90.00, 90.00 degrees
Atoms (fractional coordinates):
Sb1 0.193 0.307 0.000
Sb2 0.807 0.693 0.000
Sb3 0.307 0.807 0.000
Sb4 0.693 0.193 0.000
S1 0.000 0.000 0.000
S2 0.500 0.500 0.000
Bi1 0.641 0.859 0.500
Bi2 0.859 0.359 0.500
Bi3 0.359 0.141 0.500
Bi4 0.141 0.641 0.500

Properties
The calculation puts the total magnetic moment at 0.0 μB/cell. As for the density: 7.69 g/cm³.

Which of them is the most stable? Correct choice: entry w.

Entry w
The following is a PBE calculation of BiSbS2 after structural relaxation, from Alexandria via LeMat-Bulk.

Cell lengths 3.728, 3.728, 8.386 Å; angles 77.16, 77.16, 60.00 degrees
Atoms (fractional coordinates):
Sb1 0.667 0.667 0.998
S1 0.074 0.074 0.779
S2 0.262 0.262 0.214
Bi1 0.497 0.497 0.508

Properties
The calculation puts the total magnetic moment at 0.0 μB/cell. As for the density: 6.72 g/cm³.

Entry x
The following is a PBE calculation of BiSbS2 after structural relaxation, from Alexandria via LeMat-Bulk.

Cell lengths 4.993, 4.993, 4.993 Å; angles 60.00, 60.00, 60.00 degrees
Atoms (fractional coordinates):
Sb1 0.000 0.000 0.000
Bi1 0.500 0.500 0.500
S1 0.750 0.750 0.750
S2 0.250 0.250 0.250

Properties
The calculation puts the total magnetic moment at 0.0 μB/cell. As for the density: 7.45 g/cm³.

Which of them is the most stable? Correct choice: entry w.

Entry w
The following is a PBE calculation of BiSb3S after structural relaxation, from Alexandria via LeMat-Bulk.

Cell lengths 5.252, 5.252, 5.252 Å; angles 90.00, 90.00, 90.00 degrees
Atoms (fractional coordinates):
Sb1 0.000 0.500 0.000
Sb2 0.000 0.000 0.500
Sb3 0.500 0.000 0.000
S1 0.000 0.000 0.000
Bi1 0.500 0.500 0.500

Properties
The calculation puts the total magnetic moment at 0.0 μB/cell. As for the density: 6.95 g/cm³.

Entry x
The following is a PBE calculation of BiSb3S after structural relaxation, from Alexandria via LeMat-Bulk.

Cell lengths 5.831, 5.831, 5.831 Å; angles 90.00, 90.00, 90.00 degrees
Atoms (fractional coordinates):
Bi1 0.000 0.000 0.000
Sb1 0.000 0.500 0.000
Sb2 0.500 0.000 0.000
Sb3 0.000 0.000 0.500
S1 0.500 0.500 0.500

Properties
The calculation puts the total magnetic moment at 1.8 μB/cell. As for the density: 5.08 g/cm³.

Which of them is the most stable? Correct choice: entry w.

Entry w
The following is a PBE calculation of BiSbTe2S after structural relaxation, from Alexandria via LeMat-Bulk.

Cell lengths 5.240, 5.240, 5.366 Å; angles 90.00, 90.00, 90.00 degrees
Atoms (fractional coordinates):
S1 0.000 0.000 0.000
Te1 0.500 0.000 0.000
Te2 0.000 0.500 0.000
Sb1 0.000 0.000 0.500
Bi1 0.500 0.500 0.500

Properties
The calculation puts the total magnetic moment at 0.0 μB/cell. As for the density: 6.96 g/cm³.

Entry x
The following is a PBE calculation of BiSbTe2S after structural relaxation, from Alexandria via LeMat-Bulk.

Cell lengths 5.932, 5.932, 5.921 Å; angles 90.00, 90.00, 90.00 degrees
Atoms (fractional coordinates):
Te1 0.500 0.000 0.000
Te2 0.000 0.500 0.000
Bi1 0.000 0.000 0.000
Sb1 0.000 0.000 0.500
S1 0.500 0.500 0.500

Properties
The calculation puts the total magnetic moment at 1.5 μB/cell. As for the density: 4.93 g/cm³.

Which of them is the most stable? Correct choice: entry w.

Entry w
The following is a PBE calculation of ScBi2S4 after structural relaxation, from Alexandria via LeMat-Bulk.

Cell lengths 3.601, 7.460, 12.895 Å; angles 90.00, 90.00, 103.97 degrees
Atoms (fractional coordinates):
S1 0.500 0.000 0.500
S2 0.803 0.605 0.373
S3 0.987 0.974 0.750
S4 0.197 0.395 0.873
S5 0.197 0.395 0.627
S6 0.500 0.000 0.000
S7 0.013 0.026 0.250
S8 0.803 0.605 0.127
Bi1 0.870 0.739 0.926
Bi2 0.130 0.261 0.074
Bi3 0.130 0.261 0.426
Bi4 0.870 0.739 0.574
Sc1 0.616 0.231 0.750
Sc2 0.384 0.769 0.250

Properties
The calculation puts the total magnetic moment at 0.0 μB/cell. As for the density: 5.84 g/cm³.

Entry x
The following is a PBE calculation of ScBi2S4 after structural relaxation, from Alexandria via LeMat-Bulk.

Cell lengths 3.728, 7.225, 12.663 Å; angles 90.00, 90.00, 90.00 degrees
Atoms (fractional coordinates):
S1 0.000 0.612 0.802
S2 0.500 0.741 0.041
S3 0.000 0.112 0.698
S4 0.500 0.241 0.459
S5 0.500 0.759 0.541
S6 0.500 0.259 0.959
S7 0.000 0.888 0.302
S8 0.000 0.388 0.198
Bi1 0.500 0.607 0.345
Bi2 0.500 0.107 0.155
Bi3 0.500 0.393 0.655
Bi4 0.500 0.893 0.845
Sc1 0.000 0.500 0.000
Sc2 0.000 0.000 0.500

Properties
The calculation puts the total magnetic moment at 0.0 μB/cell. As for the density: 5.76 g/cm³.

Which of them is the most stable? Correct choice: entry x.

Entry w
The following is a PBE calculation of ScBi2S2 after structural relaxation, from Alexandria via LeMat-Bulk.

Cell lengths 5.612, 5.612, 6.076 Å; angles 62.49, 62.49, 90.00 degrees
Atoms (fractional coordinates):
S1 0.750 0.250 0.500
S2 0.250 0.750 0.500
Sc1 0.000 0.000 0.000
Bi1 0.322 0.322 0.355
Bi2 0.678 0.678 0.645

Properties
The calculation puts the total magnetic moment at 0.2 μB/cell. As for the density: 6.04 g/cm³.

Entry x
The following is a PBE calculation of ScBi2S2 after structural relaxation, from Alexandria via LeMat-Bulk.

Cell lengths 7.827, 7.827, 4.405 Å; angles 90.00, 90.00, 90.00 degrees
Atoms (fractional coordinates):
S1 0.792 0.292 0.500
S2 0.292 0.208 0.500
S3 0.708 0.792 0.500
S4 0.208 0.708 0.500
Sc1 0.500 0.500 0.000
Sc2 0.000 0.000 0.000
Bi1 0.353 0.853 0.000
Bi2 0.147 0.353 0.000
Bi3 0.647 0.147 0.000
Bi4 0.853 0.647 0.000

Properties
The calculation puts the total magnetic moment at 0.0 μB/cell. As for the density: 6.49 g/cm³.

Which of them is the most stable? Correct choice: entry x.